1.
4
Lattice="3.107 0.000 0.000 0.000 3.107 0.000 0.000 0.000 6.769" Properties=species:S:1:pos:R:3 comment="TmVOs2 (PBE, optimized geometry)" crystal_system=tetragonal de_polymorph_ev_per_atom=0.000 final_energy_ev_per_atom=-9.22 pbc="T T T"
Os 0.000 0.000 1.441
V 1.554 1.554 0.000
Tm 1.554 1.554 3.384
Os 0.000 0.000 5.328

***

2.
8
Lattice="-3.150 2.596 -0.379 -3.040 -3.157 5.238 5.250 4.786 2.482" Properties=species:S:1:pos:R:3 comment="In2PAu (PBE, optimized geometry)" crystal_system=triclinic final_energy_ev_per_atom=-3.57 pbc="T T T"
In -0.705 3.730 6.010
P -0.639 3.040 1.521
In -2.586 0.563 4.294
In -0.235 0.495 1.331
Au -1.520 -1.579 2.619
Au 1.105 0.815 3.860
P -0.301 1.185 5.820
In 1.646 3.662 3.047